1.
This record from Alexandria via LeMat-Bulk describes a relaxed structure of NpPa2Si. The functional is PBE-GGA.

Output
N(E_F)	8.09	states/eV/cell
space-group type	No. 225
mass density	14.23	g cm⁻³
raw formation energy	-0.006	eV per atom
relative energy among the computed polymorphs	0.77	eV per formula unit

Lattice parameters (Å, degrees): 4.933 4.933 4.933 60.00 60.00 60.00
Element x y z (fractional)
Np1 0.000 0.000 0.000
Si1 0.500 0.500 0.500
Pa1 0.250 0.250 0.250
Pa2 0.750 0.750 0.750

***

2.
This record from Alexandria via LeMat-Bulk describes a relaxed structure of NpPa3Si7. The functional is PBE-GGA.

Output
N(E_F)	34.84	states/eV/cell
space-group type	No. 63
mass density	8.71	g cm⁻³
raw formation energy	-0.350	eV per atom

Lattice parameters (Å, degrees): 4.109 9.410 11.382 90.00 90.00 102.61
Element x y z (fractional)
Np1 0.963 0.927 0.250
Np2 0.037 0.073 0.750
Pa1 0.109 0.217 0.455
Pa2 0.891 0.783 0.545
Pa3 0.235 0.470 0.750
Pa4 0.765 0.530 0.250
Pa5 0.109 0.217 0.045
Pa6 0.891 0.783 0.955
Si1 0.399 0.798 0.750
Si2 0.601 0.202 0.250
Si3 0.501 0.003 0.400
Si4 0.499 0.997 0.600
Si5 0.499 0.997 0.900
Si6 0.501 0.003 0.100
Si7 0.374 0.748 0.353
Si8 0.626 0.252 0.647
Si9 0.270 0.539 0.464
Si10 0.730 0.461 0.536
Si11 0.730 0.461 0.964
Si12 0.270 0.539 0.036
Si13 0.374 0.748 0.147
Si14 0.626 0.252 0.853

***

Which formula does entry 1 have?
NpPa2Si

***

Look up the mass density of the second one.
8.71 g cm⁻³